[1]
The following is a PBE calculation of crystalline Na2ErHfS4 at its relaxed geometry, from Alexandria via LeMat-Bulk.

Unit cell a=3.7804 b=6.5979 c=7.0773 alpha=107.92 beta=90.00 gamma=90.00
With the nearest neighbours (Å) after each atom.
Atoms (fractional coordinates):
S: 0.0000 0.2709 0.7790  2 Hf 2.62, 1 Er 2.71, 3 Na 2.83-2.91
S: 0.5000 0.2547 0.2261  1 Hf 2.60, 2 Er 2.70, 2 Na 2.83
S: 0.5000 0.7453 0.7739  1 Hf 2.60, 2 Er 2.70, 2 Na 2.83
S: 0.0000 0.7291 0.2210  2 Hf 2.62, 1 Er 2.71, 3 Na 2.83-2.91
Hf: 0.5000 0.5000 0.0000  6 S 2.60-2.62
Na: 0.5000 0.0000 0.5000  6 S 2.91-2.93
Na: 0.0000 0.5000 0.5000  6 S 2.83
Er: 0.0000 0.0000 0.0000  6 S 2.70-2.71

- ΔE_f (raw): -1630.3 meV/atom
- SG: P2/m (10)

=====

[2]
The following is a PBE calculation of crystalline Ba2SiPd2 at its relaxed geometry, from Alexandria via LeMat-Bulk.

Unit cell a=3.8483 b=3.8483 c=10.0094 alpha=78.92 beta=78.92 gamma=90.00
With the nearest neighbours (Å) after each atom.
Atoms (fractional coordinates):
Pd: 0.2500 0.7500 0.5000  4 Pd 2.72
Pd: 0.7500 0.2500 0.5000  4 Pd 2.72
Si: 0.0000 0.0000 0.0000  8 Ba 3.46, 4 Si 3.85
Ba: 0.3894 0.3894 0.2213  4 Pd 3.30, 4 Si 3.46
Ba: 0.6106 0.6106 0.7787  4 Pd 3.30, 4 Si 3.46

- ΔE_f (raw): -205.1 meV/atom
- SG: I4/mmm (139)

=====

[3]
The following is a PBE calculation of crystalline MgSn2Pb at its relaxed geometry, from Alexandria via LeMat-Bulk.

Unit cell a=5.3784 b=5.3784 c=5.3784 alpha=60.00 beta=60.00 gamma=60.00
With the nearest neighbours (Å) after each atom.
Atoms (fractional coordinates):
Pb: 0.5000 0.5000 0.5000  8 Sn 3.29
Sn: 0.7500 0.7500 0.7500  4 Pb 3.29, 4 Mg 3.29
Sn: 0.2500 0.2500 0.2500  4 Pb 3.29, 4 Mg 3.29
Mg: 0.0000 0.0000 0.0000  8 Sn 3.29

- DFT formation energy: 0.03 eV/atom
- Polymorph energy (0 for the lowest one): 63 meV/atom
- SG: Fm-3m (225)

=====

[4]
The following is a PBE calculation of crystalline RePbO2F at its relaxed geometry, from Alexandria via LeMat-Bulk.

Unit cell a=4.3484 b=4.3484 c=4.4966 alpha=90.00 beta=90.00 gamma=90.00
With the nearest neighbours (Å) after each atom.
Atoms (fractional coordinates):
O: 0.5000 0.0000 0.0000  2 Pb 2.17
O: 0.0000 0.5000 0.0000  2 Pb 2.17
F: 0.0000 0.0000 0.5000  2 Pb 2.25
Re: 0.5000 0.5000 0.5000  4 F 3.07, 8 O 3.13
Pb: 0.0000 0.0000 0.0000  4 O 2.17, 2 F 2.25

- ΔE_f (raw): 326.5 meV/atom
- SG: P4/mmm (123)

=====

[5]
The following is a PBE calculation of crystalline ZrCo2Ge at its relaxed geometry, from Alexandria via LeMat-Bulk.

Unit cell a=3.9142 b=3.9142 c=8.8507 alpha=77.22 beta=77.22 gamma=90.00
With the nearest neighbours (Å) after each atom.
Atoms (fractional coordinates):
Co: 0.2051 0.6250 0.2500  2 Co 2.37, 2 Ge 2.41
Co: 0.8750 0.7949 0.7500  2 Co 2.37, 2 Ge 2.41
Co: 0.3750 0.4551 0.7500  2 Co 2.37, 2 Ge 2.41
Co: 0.5449 0.1250 0.2500  2 Co 2.37, 2 Ge 2.41
Zr: 0.7500 0.2500 0.5000  4 Co 2.65, 4 Ge 2.77
Zr: 0.0000 0.0000 0.0000  4 Co 2.65, 4 Ge 2.77
Ge: 0.2500 0.7500 0.5000  4 Co 2.41
Ge: 0.5000 0.5000 0.0000  4 Co 2.41

- DFT formation energy: 0.03 eV/atom
- SG: I-42d (122)

=====

[6]
The following is a PBE calculation of crystalline GdMg4Sc at its relaxed geometry, from Alexandria via LeMat-Bulk.

Unit cell a=5.9535 b=5.9535 c=5.9535 alpha=60.00 beta=60.00 gamma=60.00
With the nearest neighbours (Å) after each atom.
Atoms (fractional coordinates):
Gd: 0.2500 0.2500 0.2500  12 Mg 3.49, 4 Sc 3.65
Mg: 0.1239 0.6254 0.6254  6 Mg 2.97-2.99
Mg: 0.6254 0.6254 0.1239  6 Mg 2.97-2.99
Mg: 0.6254 0.1239 0.6254  6 Mg 2.97-2.99
Mg: 0.6254 0.6254 0.6254  6 Mg 2.97-2.99
Sc: 0.0000 0.0000 0.0000  12 Mg 3.49, 4 Gd 3.65

- DFT formation energy: -0.03 eV/atom
- SG: F-43m (216)

=====

[7]
The following is a PBE calculation of crystalline ScVCoRh at its relaxed geometry, from Alexandria via LeMat-Bulk.

Unit cell a=4.3562 b=4.3562 c=4.3562 alpha=60.00 beta=60.00 gamma=60.00
With the nearest neighbours (Å) after each atom.
Atoms (fractional coordinates):
V: 0.5000 0.5000 0.5000  4 Co 2.67, 4 Rh 2.67
Rh: 0.7500 0.7500 0.7500  4 V 2.67, 4 Sc 2.67
Co: 0.2500 0.2500 0.2500  4 Sc 2.67, 4 V 2.67
Sc: 0.0000 0.0000 0.0000  4 Rh 2.67, 4 Co 2.67

- DFT formation energy: -0.33 eV/atom
- SG: F-43m (216)

=====

[8]
The following is a PBE calculation of crystalline FeCuTc2 at its relaxed geometry, from Alexandria via LeMat-Bulk.

Unit cell a=4.6319 b=4.6319 c=4.6565 alpha=81.79 beta=81.79 gamma=32.56
With the nearest neighbours (Å) after each atom.
Atoms (fractional coordinates):
Tc: 0.9926 0.9926 0.9977  5 Tc 2.56-2.75, 4 Cu 2.64-2.69, 3 Fe 2.65-2.75
Tc: 0.7534 0.7534 0.7533  5 Tc 2.56-2.75, 4 Fe 2.64-2.69, 3 Cu 2.70-2.71
Cu: 0.5035 0.5035 0.4888  2 Cu 2.60, 3 Fe 2.63-2.64, 7 Tc 2.64-2.71
Fe: 0.2505 0.2505 0.2602  2 Fe 2.60, 3 Cu 2.63-2.64, 7 Tc 2.64-2.75

- DFT formation energy: 0.20 eV/atom
- Polymorph energy (0 for the lowest one): 47 meV/atom
- SG: Cm (8)

=====

Short version: E_tot = -5.838 -4.136 -3.295 -5.262 -6.815 -4.500 -7.805 -8.120 eV/atom, in the order given.
Short version: D(E_F) = 2.7 2.2 2.1 1.3 4.1 7.9 3.4 4.6 states/eV/f.u., in the order given.